Compound: Sr5Cr3O12F
Source: the Alexandria database
Functional: GGA-PBEsol
Structure: optimized geometry

Geometry as extended XYZ:
```
42
Lattice="7.2281 0.0000 0.0000 0.0000 9.8825 0.0000 0.0000 -4.9412 8.5585" Properties=species:S:1:pos:R:3 pbc="T T T"
Sr 5.4211 -2.6284 8.5119
Sr 1.8070 1.1968 1.9797
Sr 3.6071 0.0000 5.7057
Sr 7.2211 4.9413 2.8528
Sr 1.8070 7.5696 0.0466
Sr 1.8070 6.0573 6.5322
Sr 0.0070 0.0000 5.7057
Sr 3.6210 4.9413 2.8528
Sr 5.4211 -1.1161 2.0263
Sr 5.4211 3.7445 6.5788
Cr 5.4211 6.6455 5.1187
Cr 5.4211 6.0514 0.2439
Cr 1.8070 -1.1102 8.3146
Cr 1.8070 2.8145 5.3627
Cr 1.8070 -1.7043 3.4398
Cr 5.4211 2.1268 3.1958
O 3.1474 -0.7927 2.9563
O 4.0807 6.9259 0.7916
O 3.1474 2.7774 6.3938
O 0.4666 -1.9847 7.7669
O 6.7615 6.9259 0.7916
O 5.4211 0.6960 4.1038
O 1.8070 -1.7554 5.1436
O 3.1474 -1.9847 7.7669
O 6.7615 5.7340 5.6022
O 4.0807 2.1638 2.1647
O 0.4666 -0.7927 2.9563
O 4.0807 5.7340 5.6022
O 1.8070 6.6765 2.6547
O 1.8070 1.3645 4.4665
O 5.4211 -1.7353 5.9038
O 1.8070 0.3909 7.5069
O 0.4666 2.7774 6.3938
O 5.4211 1.0392 7.1094
O 5.4211 4.5503 1.0516
O 1.8070 3.9020 1.4491
O 5.4211 6.6967 3.4149
O 5.4211 3.5768 4.0920
O 6.7615 2.1638 2.1647
O 1.8070 4.2452 4.4547
F 0.0000 0.0000 0.0000
F 3.6140 0.0000 0.0000
```

Properties
DFT total energy ... -318.925 eV per cell
Magnetic moment ... 3.00 μB per formula unit
Raw formation energy ... -2.6007 eV per atom